No. 1
First-principles (PBE) data for crystalline La3Pr2Hg at its relaxed geometry, as listed in the Alexandria database.

Cell and atoms, written as POSCAR:
```
La3Pr2Hg
1.0
-2.898 -1.497 -5.482
3.475 -1.508 -5.136
-1.159 -11.613 1.299
La Pr Hg
6 4 2
direct
0.268 0.000 0.236
0.732 0.000 0.764
0.078 0.349 0.763
0.922 0.651 0.237
0.573 0.349 0.237
0.427 0.651 0.763
0.837 0.326 0.500
0.500 0.000 0.500
0.163 0.674 0.500
0.000 0.000 0.000
0.667 0.665 0.000
0.333 0.335 0.000
```

total energy: -25.124 eV per formula unit
offset from the most stable computed form: 76 meV/atom
energy of formation: -0.48 eV/f.u.
space group: C2/m, No. 12

***

No. 2
First-principles (PBE) data for crystalline La6PrHg2 at its relaxed geometry, as listed in the Alexandria database.

Cell and atoms, written as POSCAR:
```
La6PrHg2
1.0
5.160 0.000 0.000
0.000 5.160 0.000
0.000 0.000 11.815
Pr Hg La
1 2 6
direct
0.000 0.000 0.000
0.500 0.500 0.885
0.500 0.500 0.115
0.500 0.000 0.274
0.000 0.000 0.500
0.000 0.500 0.274
0.000 0.500 0.726
0.500 0.500 0.500
0.500 0.000 0.726
```

total energy: -35.636 eV per formula unit
offset from the most stable computed form: 145 meV/atom
energy of formation: -0.69 eV/f.u.
space group: P4/mmm, No. 123